Record 1
Material: CaCu2Sb
Method: DFT, PBE
State: relaxed

Results
V	20.3	Å³ per atom
magnetization	0.000	μB/atom
crystal system	tetragonal
SG	P4/mmm, No. 123
electronic total energy	-3.63	eV per atom

a b c (Å): 3.624 3.624 6.195
angles (deg): 90.00 90.00 90.00
Element x y z (fractional)
Sb: 0.500 0.500 0.250
Ca: 0.500 0.500 0.750
Cu: 0.000 0.000 0.032
Cu: 0.000 0.000 0.468


Record 2
Material: Tb4HoTh3Se8
Method: DFT, PBE
State: relaxed

Results
V	25.0	Å³ per atom
magnetization	0.000	μB/atom
crystal system	trigonal
SG	R-3m, No. 166
electronic total energy	-6.25	eV per atom

a b c (Å): 8.156 8.379 8.156
angles (deg): 119.13 120.00 90.00
Element x y z (fractional)
Tb: 0.500 0.000 0.000
Tb: 0.500 0.000 0.500
Tb: 0.000 0.000 0.000
Tb: 0.000 0.000 0.500
Ho: 0.000 0.500 0.000
Th: 0.500 0.500 0.000
Th: 0.500 0.500 0.500
Th: 0.000 0.500 0.500
Se: 0.249 0.758 0.009
Se: 0.249 0.758 0.498
Se: 0.245 0.236 0.491
Se: 0.759 0.758 0.009
Se: 0.241 0.242 0.991
Se: 0.755 0.764 0.509
Se: 0.751 0.242 0.502
Se: 0.751 0.242 0.991